i) This record from the Alexandria database describes a geometry-optimized TaFeW structure. The functional is PBE.

The structure belongs to space group F-43m (No. 216); the cell edges are 5.864, 5.864 and 5.864 Å and the angles 90.00°, 90.00° and 90.00°. Symmetry generates all atoms from Ta at (0.000, 0.000, 0.000), Fe at (0.250, 0.250, 0.250) and W at (0.000, 0.000, 0.500).

***

ii) This record from the Alexandria database describes a geometry-optimized TaFeW structure. The functional is PBE.

The structure belongs to space group Fmm2 (No. 42); the cell edges are 3.219, 4.398 and 12.947 Å and the angles 90.00°, 90.00° and 90.00°. Symmetry generates all atoms from Ta at (0.000, 0.000, 0.000), Fe at (0.000, 0.000, 0.662) and W at (0.000, 0.000, 0.319).

***

Relative energy of each structure, in meV per atom: i) 425; ii) 0.